1.
Below is a geometry-optimized FeRePb2 structure, with properties calculated at the GGA-PBE level.

a = 6.8861 Å, b = 6.8861 Å, c = 6.8861 Å
α = 90.00°, β = 90.00°, γ = 90.00°
With the nearest neighbours (Å) after each atom.
Space group F-43m (No. 216)
Unique sites:
Fe  0.0000  0.0000  0.0000 [4 per cell]  4 Pb 2.98, 4 Re 2.98
Re  0.2500  0.2500  0.7500 [4 per cell]  4 Pb 2.98, 4 Fe 2.98
Pb  0.0000  0.0000  0.5000 [4 per cell]  4 Pb 2.98, 4 Re 2.98
Pb  0.2500  0.2500  0.2500 [4 per cell]  4 Pb 2.98, 4 Fe 2.98

Output
The energy comes out at -94.8 eV/cell. The value obtained for the total magnetization is 12.61 μB per cell.

***

2.
Below is a geometry-optimized FeRePb4 structure, with properties calculated at the GGA-PBE level.

a = 8.7697 Å, b = 8.7697 Å, c = 8.7697 Å
α = 90.00°, β = 90.00°, γ = 90.00°
With the nearest neighbours (Å) after each atom.
Space group F-43m (No. 216)
Unique sites:
Fe  0.0000  0.0000  0.0000 [4 per cell]  12 Pb 3.64, 4 Re 3.80
Re  0.2500  0.2500  0.2500 [4 per cell]  12 Pb 3.63, 4 Fe 3.80
Pb  0.1247  0.1247  0.6247 [16 per cell]  6 Pb 3.09-3.11

Output
The energy comes out at -106.8 eV/cell. The value obtained for the total magnetization is 23.87 μB per cell.

***

3.
Below is a geometry-optimized Fe4RePb structure, with properties calculated at the GGA-PBE level.

a = 6.9237 Å, b = 6.9237 Å, c = 6.9237 Å
α = 90.00°, β = 90.00°, γ = 90.00°
With the nearest neighbours (Å) after each atom.
Space group F-43m (No. 216)
Unique sites:
Fe  0.1234  0.1234  0.3766 [16 per cell]  6 Fe 2.42-2.48
Re  0.2500  0.2500  0.7500 [4 per cell]  12 Fe 2.87, 4 Pb 3.00
Pb  0.0000  0.0000  0.0000 [4 per cell]  12 Fe 2.87, 4 Re 3.00

Output
The energy comes out at -189.7 eV/cell. The value obtained for the total magnetization is 37.05 μB per cell.

***

4.
Below is a geometry-optimized FeRePb2 structure, with properties calculated at the GGA-PBE level.

a = 3.1720 Å, b = 4.6420 Å, c = 12.0785 Å
α = 90.00°, β = 90.00°, γ = 90.00°
With the nearest neighbours (Å) after each atom.
Space group Imm2 (No. 44)
Unique sites:
Fe  0.0000  0.0000  0.0000 [2 per cell]  2 Re 2.43
Re  0.0000  0.5000  0.3478 [2 per cell]  2 Fe 2.43
Pb  0.0000  0.0000  0.6023 [2 per cell]  4 Fe 3.07, 2 Pb 3.17, 2 Re 3.36
Pb  0.0000  0.5000  0.8243 [2 per cell]  4 Re 2.83, 2 Fe 3.14

Output
The energy comes out at -50.2 eV/cell. The value obtained for the total magnetization is 5.83 μB per cell.